The following is a GGA-PBE calculation of an optimized crystal structure of SrMnCr2Fe, from Alexandria via LeMat-Bulk.

Cell lengths 5.1314, 5.1314, 4.5455 Å; angles 90.00, 90.00, 90.00 degrees
Space group P4/mmm (No. 123)
Inequivalent atoms, fractional coordinates:
Sr 0.0000 0.0000 0.0000 [1 per cell]
Mn 0.5000 0.5000 0.5000 [1 per cell]
Cr 0.0000 0.5000 0.0000 [2 per cell]
Fe 0.0000 0.0000 0.5000 [1 per cell]

## Properties
The calculation puts the energy relative to the elements at 242.26 kJ per mole of atoms. The value obtained for the total moment is 2.545 μB/atom. Its density is 4.2 g/cm³. The raw total energy is -5.2014 eV/atom.